# PBE SmFeSe, optimized geometry
data_SmFeSe
_symmetry_space_group_name_H-M 'P 1'
_symmetry_Int_Tables_number 1
_cell_length_a 4.353
_cell_length_b 4.353
_cell_length_c 10.051
_cell_angle_alpha 77.49
_cell_angle_beta 77.49
_cell_angle_gamma 60.00
loop_
_symmetry_equiv_pos_as_xyz
'x,y,z'
loop_
_atom_site_label
_atom_site_type_symbol
_atom_site_fract_x
_atom_site_fract_y
_atom_site_fract_z
Se1 Se 0.276 0.276 0.172
Fe1 Fe 0.827 0.827 0.519
Sm1 Sm 0.567 0.567 0.300
Se2 Se 0.724 0.724 0.828
Sm2 Sm 0.433 0.433 0.700
Fe2 Fe 0.173 0.173 0.481
# **Space group**: R-3m, No. 166
# **E_form (uncorrected)**: -2.0 eV per formula unit
# **Calculated volume**: 26.62 A^3/atom